[1]
The following is a GGA-PBE calculation of a relaxed CsCrRh crystal, from Alexandria.

```
CsCrRh
1.0
3.906 0.000 0.000
-1.691 3.521 0.000
-1.810 -1.313 12.536
Cs Cr Rh
2 2 2
Direct
0.064 0.246 0.308 Cs
0.936 0.754 0.692 Cs
0.168 0.866 0.034 Cr
0.832 0.134 0.966 Cr
0.414 0.481 0.895 Rh
0.586 0.519 0.105 Rh
```

The magnetic moment is 0.08 μB/cell. The calculation puts the formation energy at 0.530 eV/atom. As for the space-group type: No. 2. For the distance to the lowest polymorph of the same formula, the calculation gives 22 kJ/mol of formula units. Its energy is -5.413 eV/atom.

---

[2]
The following is a GGA-PBE calculation of a relaxed HfBe3Cl crystal, from Alexandria.

```
HfBe3Cl
1.0
4.189 0.000 0.000
0.000 4.189 0.000
0.000 0.000 4.189
Hf Be Cl
1 3 1
Direct
0.000 0.000 0.000 Hf
0.000 0.500 0.500 Be
0.500 0.000 0.500 Be
0.500 0.500 0.000 Be
0.500 0.500 0.500 Cl
```

The uncorrected formation energy is 1.036 eV/atom. The magnetic moment is 0.00 μB/cell. As for the space-group type: No. 221. For the distance to the lowest polymorph of the same formula, the calculation gives 0 kJ/mol of formula units. Its energy is -3.560 eV/atom.

---

[3]
The following is a GGA-PBE calculation of a relaxed BaCoAs2 crystal, from Alexandria.

```
BaCoAs2
1.0
-1.986 3.254 3.865
1.986 -3.254 3.865
1.986 3.254 -3.865
Ba Co As
1 1 2
Direct
0.000 0.000 0.000 Ba
0.500 0.500 0.000 Co
0.339 0.839 0.500 As
0.661 0.161 0.500 As
```

The magnetic moment is 0.00 μB/cell. The calculation puts the formation energy at -0.413 eV/atom. As for the space-group type: No. 71. Its energy is -4.995 eV/atom.

---

[4]
The following is a GGA-PBE calculation of a relaxed Th4Sb2Ru crystal, from Alexandria.

```
Th4Sb2Ru
1.0
6.906 0.000 0.000
0.000 6.652 0.000
-3.102 0.000 8.954
Th Sb Ru
8 4 2
Direct
0.011 0.011 0.267 Th
0.011 0.489 0.267 Th
0.367 0.750 0.062 Th
0.431 0.750 0.632 Th
0.569 0.250 0.368 Th
0.633 0.250 0.938 Th
0.989 0.511 0.733 Th
0.989 0.989 0.733 Th
0.218 0.250 0.041 Sb
0.256 0.250 0.577 Sb
0.744 0.750 0.423 Sb
0.782 0.750 0.959 Sb
0.330 0.750 0.327 Ru
0.670 0.250 0.673 Ru
```

The uncorrected formation energy is -0.563 eV/atom. The magnetic moment is 0.00 μB/cell. As for the space-group type: No. 11. Its energy is -7.306 eV/atom.